# GGA-PBE PdAu2F2, relaxed
# Space-group type: I4/mmm (139)
# Density of states at the Fermi level (states/eV/cell): 4.52
# Polymorph energy (0 for the lowest one) (meV per atom): 204.9
# Raw formation energy (kJ/mol of atoms): 5.6
data_PdAu2F2
_chemical_formula_sum 'Pd1 Au2 F2'
_symmetry_space_group_name_H-M 'P 1'
_symmetry_Int_Tables_number 1
_symmetry_space_group_name_Hall 'P 1'
_cell_length_a 3.831
_cell_length_b 3.831
_cell_length_c 6.314
_cell_angle_alpha 72.34
_cell_angle_beta 72.34
_cell_angle_gamma 90.00
loop_
_atom_site_label
_atom_site_type_symbol
_atom_site_fract_x
_atom_site_fract_y
_atom_site_fract_z
Au1 Au 0.750 0.250 0.500
Au2 Au 0.250 0.750 0.500
Pd1 Pd 0.000 0.000 0.000
F1 F 0.399 0.399 0.202
F2 F 0.601 0.601 0.798